! Li4Mn2Ni3Sb3O16, relaxed, DFT PBE with a Hubbard U; values from VASP
&SYSTEM
  ibrav = 0, nat = 28, ntyp = 5
/
ATOMIC_SPECIES
Li 6.94 Li.upf
Mn 54.94 Mn.upf
Ni 58.69 Ni.upf
Sb 121.76 Sb.upf
O 16.00 O.upf
ATOMIC_POSITIONS crystal
Li 0.6685 0.6685 0.1095
Li 0.9719 0.9719 0.0174
Li 0.9826 0.9826 0.4975
Li 0.3281 0.3281 0.5942
Mn 0.6739 0.6739 0.4996
Mn 0.3509 0.3509 0.0277
Ni 0.8296 0.8296 0.7857
Ni 0.1729 0.6661 0.2872
Ni 0.6661 0.1729 0.2872
Sb 0.3379 0.8337 0.7875
Sb 0.8337 0.3379 0.7875
Sb 0.1716 0.1716 0.2884
O 0.3260 0.8474 0.4018
O 0.5195 0.5195 0.6634
O 0.6594 0.6594 0.9002
O 0.0042 0.0042 0.6862
O 0.0102 0.0102 0.1923
O 0.8474 0.3260 0.4018
O 0.5097 0.9713 0.6674
O 0.9713 0.5097 0.6674
O 0.1517 0.1517 0.9025
O 0.8291 0.8291 0.3995
O 0.0518 0.4750 0.1465
O 0.4750 0.0518 0.1465
O 0.3287 0.3287 0.3924
O 0.1750 0.6696 0.9034
O 0.4828 0.4828 0.1481
O 0.6696 0.1750 0.9034
CELL_PARAMETERS angstrom
6.0759 -0.0064 -0.0021
3.0071 5.2796 -0.0021
0.4146 0.2407 9.6880
! Electronic total energy = -164.1 eV for the cell shown
! Magnetization = 13.00 μB/cell
! DOS at the Fermi energy = 1.10 states/eV/f.u.